Entry 1:
Material: CsTl2Te2
Method: DFT, PBE-GGA
State: optimized geometry

Excess energy over the best structure of this formula in the dataset: 0 meV per atom
N(E_F): 0.58 states/eV per atom
Raw formation energy: -2.48 eV/f.u.

abc: 5.254 5.254 15.182
angles: 90.00 90.00 90.00
Space group I4/mmm (No. 139)
One atom of each set of equivalent atoms:
Cs 0.000 0.000 0.000 (multiplicity 2)
Tl 0.000 0.500 0.250 (multiplicity 4)
Te 0.000 0.000 0.389 (multiplicity 4)



Entry 2:
Material: Cs2Tl3Te4
Method: DFT, PBE-GGA
State: optimized geometry

N(E_F): 0.62 states/eV per atom
Raw formation energy: -4.17 eV/f.u.

abc: 7.338 19.662 9.700
angles: 90.00 90.00 90.00
Space group Cmce (No. 64)
One atom of each set of equivalent atoms:
Cs 0.000 0.115 0.078 (multiplicity 8)
Tl 0.000 0.000 0.500 (multiplicity 4)
Tl 0.250 0.219 0.750 (multiplicity 8)
Te 0.000 0.185 0.457 (multiplicity 8)
Te 0.250 0.042 0.750 (multiplicity 8)



Entry 3:
Material: CsTl2Te2
Method: DFT, PBE-GGA
State: optimized geometry

Excess energy over the best structure of this formula in the dataset: 7 meV per atom
N(E_F): 0.20 states/eV per atom
Raw formation energy: -2.45 eV/f.u.

abc: 6.351 5.459 12.209
angles: 90.00 90.73 90.00
Space group P2_1/m (No. 11)
One atom of each set of equivalent atoms:
Cs 0.210 0.250 0.249 (multiplicity 2)
Tl 0.241 0.750 0.501 (multiplicity 2)
Tl 0.355 0.250 0.908 (multiplicity 2)
Te 0.170 0.750 0.993 (multiplicity 2)
Te 0.328 0.250 0.650 (multiplicity 2)



Entry 4:
Material: Cs3Tl6Te5
Method: DFT, PBE-GGA
State: optimized geometry

N(E_F): 0.38 states/eV per atom
Raw formation energy: -7.39 eV/f.u.

abc: 4.841 18.042 13.432
angles: 90.00 90.00 90.00
Space group Pmmn (No. 59, origin choice 2)
One atom of each set of equivalent atoms:
Cs 0.250 0.073 0.232 (multiplicity 4)
Cs 0.250 0.750 0.294 (multiplicity 2)
Tl 0.250 0.058 0.588 (multiplicity 4)
Tl 0.250 0.250 0.387 (multiplicity 2)
Tl 0.250 0.250 0.985 (multiplicity 2)
Tl 0.250 0.587 0.006 (multiplicity 4)
Te 0.250 0.105 0.835 (multiplicity 4)
Te 0.250 0.626 0.542 (multiplicity 4)
Te 0.250 0.750 0.858 (multiplicity 2)